# 1
Density functional theory data (GGA-PBEsol) for CdHg2 after structural relaxation.

Cell lengths 3.561, 4.690, 8.183 Å; angles 90.00, 102.57, 90.00 degrees
Fractional positions:
Hg 0.560 0.250 0.119
Hg 0.440 0.750 0.881
Hg 0.227 0.250 0.453
Hg 0.773 0.750 0.547
Cd 0.892 0.250 0.785
Cd 0.108 0.750 0.215

## Properties
Excess energy over the best structure of this formula in the dataset ... 16 meV per atom
M_tot ... 0.0 μB per formula unit
Electronic total energy ... -0.769 eV per atom

=====

# 2
Density functional theory data (GGA-PBEsol) for HgSb2Se after structural relaxation.

Cell lengths 4.162, 4.162, 7.311 Å; angles 73.46, 73.46, 60.00 degrees
Fractional positions:
Sb 0.001 0.001 0.996
Sb 0.750 0.750 0.750
Hg 0.244 0.244 0.267
Se 0.505 0.505 0.486

## Properties
Excess energy over the best structure of this formula in the dataset ... 0 meV per atom
M_tot ... 0.0 μB per formula unit
Electronic total energy ... -3.435 eV per atom

=====

# 3
Density functional theory data (GGA-PBEsol) for MnHgBr2 after structural relaxation.

Cell lengths 3.481, 5.883, 5.883 Å; angles 61.40, 72.79, 72.79 degrees
Last column: magnetic moment on the atom in μB.
Fractional positions:
Br 0.948 0.052 0.052  0.10
Br 0.772 0.728 0.728  0.08
Hg 0.525 0.475 0.475  0.04
Mn 0.255 0.245 0.245  4.37

## Properties
Excess energy over the best structure of this formula in the dataset ... 286 meV per atom
M_tot ... 5.0 μB per formula unit
Electronic total energy ... -3.657 eV per atom

=====

# 4
Density functional theory data (GGA-PBEsol) for RuS2N after structural relaxation.

Cell lengths 4.983, 4.983, 5.936 Å; angles 114.81, 114.81, 90.00 degrees
Fractional positions:
Ru 0.250 0.750 0.500
Ru 0.000 0.000 0.000
S 0.402 0.875 0.250
S 0.848 0.375 0.250
S 0.125 0.152 0.750
S 0.625 0.598 0.750
N 0.750 0.250 0.500
N 0.500 0.500 0.000

## Properties
M_tot ... 0.0 μB per formula unit
Electronic total energy ... -6.129 eV per atom

=====

# 5
Density functional theory data (GGA-PBEsol) for KInRe after structural relaxation.

Cell lengths 4.980, 4.980, 4.980 Å; angles 60.00, 60.00, 60.00 degrees
Last column: magnetic moment on the atom in μB.
Fractional positions:
In 0.500 0.500 0.500  -0.10
K 0.250 0.250 0.250  0.03
Re 0.000 0.000 0.000  2.90

## Properties
M_tot ... 3.2 μB per formula unit
Electronic total energy ... -3.466 eV per atom

=====

# 6
Density functional theory data (GGA-PBEsol) for TlGa3Au after structural relaxation.

Cell lengths 4.959, 4.959, 4.959 Å; angles 90.00, 90.00, 90.00 degrees
Fractional positions:
Tl 0.500 0.500 0.500
Au 0.000 0.000 0.000
Ga 0.000 0.500 0.000
Ga 0.000 0.000 0.500
Ga 0.500 0.000 0.000

## Properties
M_tot ... 0.0 μB per formula unit
Electronic total energy ... -3.146 eV per atom

=====

# 7
Density functional theory data (GGA-PBEsol) for CrTeSe2Br after structural relaxation.

Cell lengths 5.292, 5.292, 5.409 Å; angles 90.00, 90.00, 90.00 degrees
Last column: magnetic moment on the atom in μB.
Fractional positions:
Cr 0.500 0.500 0.500  4.26
Te 0.000 0.000 0.000  0.05
Se 0.000 0.500 0.000  -0.09
Se 0.500 0.000 0.000  -0.09
Br 0.000 0.000 0.500  0.01

## Properties
M_tot ... 4.7 μB per formula unit
Electronic total energy ... -3.974 eV per atom

=====

# 8
Density functional theory data (GGA-PBEsol) for Ba2LaMnAu after structural relaxation.

Cell lengths 5.646, 6.234, 6.234 Å; angles 90.00, 90.00, 90.00 degrees
Last column: magnetic moment on the atom in μB.
Fractional positions:
Mn 0.500 0.500 0.500  4.32
Au 0.000 0.000 0.000  -0.01
Ba 0.000 0.000 0.500  -0.04
Ba 0.000 0.500 0.000  -0.04
La 0.500 0.000 0.000  -0.11

## Properties
M_tot ... 4.1 μB per formula unit
Electronic total energy ... -4.230 eV per atom

=====

# 9
Density functional theory data (GGA-PBEsol) for ZnTc2Te after structural relaxation.

Cell lengths 4.402, 4.402, 4.402 Å; angles 60.00, 60.00, 60.00 degrees
Fractional positions:
Tc 0.250 0.250 0.250
Tc 0.750 0.750 0.750
Te 0.000 0.000 0.000
Zn 0.500 0.500 0.500

## Properties
M_tot ... 0.0 μB per formula unit
Electronic total energy ... -6.677 eV per atom

=====

# 10
Density functional theory data (GGA-PBEsol) for Sr2CoSbO6 after structural relaxation.

Cell lengths 5.480, 5.547, 7.750 Å; angles 90.17, 90.00, 90.00 degrees
Fractional positions:
Sr 0.515 0.003 0.749
Sr 0.485 0.997 0.251
Sr 0.015 0.497 0.751
Sr 0.985 0.503 0.249
Co 0.000 0.000 0.500
Co 0.500 0.500 0.000
Sb 0.000 0.000 0.000
Sb 0.500 0.500 0.500
O 0.998 0.943 0.745
O 0.002 0.057 0.255
O 0.498 0.557 0.755
O 0.502 0.443 0.245
O 0.764 0.273 0.970
O 0.236 0.727 0.030
O 0.264 0.227 0.530
O 0.736 0.773 0.470
O 0.273 0.236 0.970
O 0.727 0.764 0.030
O 0.773 0.264 0.530
O 0.227 0.736 0.470

## Properties
M_tot ... 0.0 μB per formula unit
Electronic total energy ... -6.728 eV per atom

=====

# 11
Density functional theory data (GGA-PBEsol) for Sr2MgZn after structural relaxation.

Cell lengths 4.002, 5.615, 5.615 Å; angles 90.00, 90.00, 90.00 degrees
Fractional positions:
Sr 0.000 0.875 0.000
Sr 0.000 0.375 0.500
Zn 0.500 0.375 0.000
Mg 0.500 0.875 0.500

## Properties
Excess energy over the best structure of this formula in the dataset ... 31 meV per atom
M_tot ... 0.0 μB per formula unit
Electronic total energy ... -1.816 eV per atom

=====

# 12
Density functional theory data (GGA-PBEsol) for CdPb3Au after structural relaxation.

Cell lengths 5.468, 5.468, 5.468 Å; angles 90.00, 90.00, 90.00 degrees
Fractional positions:
Pb 0.000 0.500 0.000
Pb 0.000 0.000 0.500
Pb 0.500 0.000 0.000
Au 0.500 0.500 0.500
Cd 0.000 0.000 0.000

## Properties
M_tot ... 0.0 μB per formula unit
Electronic total energy ... -2.716 eV per atom

=====

# 13
Density functional theory data (GGA-PBEsol) for AlBTe2 after structural relaxation.

Cell lengths 4.801, 4.801, 4.801 Å; angles 60.00, 60.00, 60.00 degrees
Fractional positions:
B 0.000 0.000 0.000
Te 0.250 0.250 0.250
Te 0.750 0.750 0.750
Al 0.500 0.500 0.500

## Properties
Excess energy over the best structure of this formula in the dataset ... 486 meV per atom
M_tot ... 0.0 μB per formula unit
Electronic total energy ... -3.629 eV per atom

=====

# 14
Density functional theory data (GGA-PBEsol) for AsRhSCl2 after structural relaxation.

Cell lengths 4.741, 4.741, 4.903 Å; angles 90.00, 90.00, 90.00 degrees
Last column: magnetic moment on the atom in μB.
Fractional positions:
As 0.000 0.000 0.000  0.00
Rh 0.500 0.500 0.500  1.70
S 0.000 0.000 0.500  0.11
Cl 0.000 0.500 0.000  0.02
Cl 0.500 0.000 0.000  0.02

## Properties
M_tot ... 2.0 μB per formula unit
Electronic total energy ... -3.635 eV per atom

=====

# 15
Density functional theory data (GGA-PBEsol) for LiLaCd4 after structural relaxation.

Cell lengths 5.839, 5.839, 5.839 Å; angles 60.00, 60.00, 60.00 degrees
Fractional positions:
Cd 0.375 0.375 0.375
Cd 0.375 0.375 0.876
Cd 0.876 0.375 0.375
Cd 0.375 0.876 0.375
Li 0.000 0.000 0.000
La 0.750 0.750 0.750

## Properties
M_tot ... 0.0 μB per formula unit
Electronic total energy ... -2.247 eV per atom

=====

# 16
Density functional theory data (GGA-PBEsol) for LiScPd2 after structural relaxation.

Cell lengths 4.429, 4.429, 4.429 Å; angles 60.00, 60.00, 60.00 degrees
Fractional positions:
Sc 0.500 0.500 0.500
Pd 0.250 0.250 0.250
Pd 0.750 0.750 0.750
Li 0.000 0.000 0.000

## Properties
M_tot ... 0.0 μB per formula unit
Electronic total energy ... -5.821 eV per atom

=====

# 17
Density functional theory data (GGA-PBEsol) for AlSe after structural relaxation.

Cell lengths 3.400, 3.509, 7.177 Å; angles 90.00, 90.00, 90.00 degrees
Fractional positions:
Al 0.250 0.000 0.159
Al 0.750 0.000 0.841
Se 0.250 0.500 0.720
Se 0.750 0.500 0.280

## Properties
M_tot ... 0.0 μB per formula unit
Electronic total energy ... -4.301 eV per atom

=====

# 18
Density functional theory data (GGA-PBEsol) for La2TeP after structural relaxation.

Cell lengths 4.304, 4.304, 7.753 Å; angles 73.88, 73.88, 60.00 degrees
Fractional positions:
P 0.500 0.500 0.500
Te 0.000 0.000 0.000
La 0.239 0.239 0.282
La 0.761 0.761 0.718

## Properties
Excess energy over the best structure of this formula in the dataset ... 0 meV per atom
M_tot ... 0.0 μB per formula unit
Electronic total energy ... -6.656 eV per atom

=====

# 19
Density functional theory data (GGA-PBEsol) for YHg4Cl after structural relaxation.

Cell lengths 5.879, 5.879, 5.879 Å; angles 60.00, 60.00, 60.00 degrees
Fractional positions:
Cl 0.000 0.000 0.000
Hg 0.375 0.375 0.375
Hg 0.375 0.375 0.875
Hg 0.875 0.375 0.375
Hg 0.375 0.875 0.375
Y 0.750 0.750 0.750

## Properties
M_tot ... 0.0 μB per formula unit
Electronic total energy ... -2.088 eV per atom

=====

# 20
Density functional theory data (GGA-PBEsol) for TlMoRh2 after structural relaxation.

Cell lengths 2.848, 3.776, 5.851 Å; angles 90.00, 90.00, 90.00 degrees
Fractional positions:
Mo 0.500 0.500 0.500
Rh 0.000 0.000 0.725
Rh 0.000 0.000 0.275
Tl 0.500 0.500 0.000

## Properties
Excess energy over the best structure of this formula in the dataset ... 0 meV per atom
M_tot ... 0.0 μB per formula unit
Electronic total energy ... -7.613 eV per atom